(1)
DyTmPb | the Open Quantum Materials Database | PBE | optimized geometry; SG = F-43m; total DFT energy (no corrections) = -4.4190 eV/atom
1.0
0.0000 3.6279 3.6279
3.6279 0.0000 3.6279
3.6279 3.6279 0.0000
Dy Pb Tm
1 1 1
Cartesian
1.8140 1.8140 1.8140
0.0000 0.0000 0.0000
5.4419 5.4419 5.4419

(2)
PmAlNO | the Open Quantum Materials Database | PBE | optimized geometry; SG = Pmc2_1; total DFT energy (no corrections) = -7.3568 eV/atom; polymorph energy (0 for the lowest one) = 0 meV per atom
1.0
-1.7246 -2.9870 0.0000
0.0000 0.0000 5.3592
-5.0908 2.9392 0.0000
Al N O Pm
2 2 2 2
Cartesian
-1.9116 -0.8877 0.0034
-4.9038 0.8398 2.6830
-1.6774 0.9684 5.3506
-3.4135 1.9708 2.6710
-0.8812 -1.4826 1.3618
-5.9342 1.4348 4.0415
-1.4457 0.8347 2.6842
-3.6452 2.1045 0.0046

(3)
GdDyZn6 | the Open Quantum Materials Database | PBE | optimized geometry; SG = P4/mmm; calculated formation energy = -296.8 meV per atom; total DFT energy (no corrections) = -2.4024 eV/atom
1.0
-3.4057 -2.1029 -2.4297
-1.2827 -2.3565 3.8375
-4.1622 4.8833 1.6075
Dy Gd Zn
1 1 6
Cartesian
0.0000 0.0000 0.0000
-4.4253 0.2120 1.5076
-2.3442 -2.2297 0.7039
-2.7361 0.1609 -0.8158
-1.6746 0.0341 2.3178
-2.0811 2.4417 0.8038
-4.8317 2.6195 -0.0064
-3.7702 2.4927 3.1272

(4)
In3B5W | the Open Quantum Materials Database | PBE | optimized geometry; SG = P2; total DFT energy (no corrections) = -5.2003 eV/atom
1.0
-2.8556 -3.6408 -2.0960
4.2585 -3.7846 0.7719
-1.3247 -0.4928 4.8920
B In W
5 3 1
Cartesian
0.3010 -5.4906 -0.1110
-0.1778 -1.9108 0.9059
-1.4767 -2.6119 1.5092
-2.1540 -3.8655 2.2251
1.1813 -3.6752 3.9334
2.7219 -5.5083 -0.2958
0.2904 -4.1824 1.8295
3.4824 -3.9298 3.1973
1.8545 -1.6481 0.3362

(5)
Sr2HfPb | the Open Quantum Materials Database | PBE | optimized geometry; SG = F-43m; total DFT energy (no corrections) = -3.9071 eV/atom
1.0
-3.5246 -4.3910 0.1093
-2.5963 -1.4080 4.7950
-5.5394 0.8489 0.5570
Hf Pb Sr
1 1 2
Cartesian
-5.8302 -2.4750 2.7307
-8.7453 -3.7125 4.0960
0.0000 0.0000 0.0000
-2.9151 -1.2375 1.3653

(6)
BaSmTh | the Open Quantum Materials Database | PBE | optimized geometry; SG = F-43m; total DFT energy (no corrections) = -3.7211 eV/atom; polymorph energy (0 for the lowest one) = 0 meV per atom
1.0
1.0455 4.4714 3.4368
-2.7790 0.4904 4.9935
2.8153 -0.7741 4.9369
Ba Sm Th
1 1 1
Cartesian
0.2704 1.0470 3.3418
0.0000 0.0000 0.0000
0.8113 3.1409 10.0254

(7)
PrIn | the Open Quantum Materials Database | PBE | optimized geometry; SG = F-43m; total DFT energy (no corrections) = -3.1785 eV/atom
1.0
-4.5160 -2.1603 0.5815
-4.0033 1.8290 -2.4551
-2.0465 -2.6201 -3.7877
In Pr
1 1
Cartesian
0.0000 0.0000 0.0000
-2.6414 -0.7378 -1.4153

(8)
Er4Pd3Pt | the Open Quantum Materials Database | PBE | optimized geometry; SG = Pm; calculated formation energy = -1053.9 meV per atom; total DFT energy (no corrections) = -6.0333 eV/atom
1.0
-4.2007 -2.9621 2.0085
2.7998 -3.5426 0.6311
1.4468 2.2711 6.3307
Er Pd Pt
4 3 1
Cartesian
-2.4615 -1.5115 2.4359
1.2622 -1.4715 2.6091
-2.5901 -0.9677 6.0588
1.0895 -0.9665 6.2106
-0.6095 -0.3739 0.6050
-0.6815 -2.6674 4.5196
-0.6645 0.2069 4.1097
-0.7606 -2.0974 8.0703

(9)
GdDyFe2B2N2 | the Open Quantum Materials Database | PBE | optimized geometry; SG = P4mm; total DFT energy (no corrections) = -7.9966 eV/atom
1.0
3.4628 0.0000 0.0000
0.0000 3.4628 0.0000
0.0000 0.0000 7.7267
B Dy Fe Gd N
2 1 2 1 2
Cartesian
0.0000 0.0000 2.5894
1.7314 1.7314 5.1337
0.0000 0.0000 6.4469
1.7314 0.0000 3.8664
0.0000 1.7314 3.8664
1.7314 1.7314 1.2859
0.0000 0.0000 1.0975
1.7314 1.7314 6.6205

(10)
Lu2CuSe4 | the Open Quantum Materials Database | PBE | optimized geometry; SG = Fd-3m; total DFT energy (no corrections) = -5.1075 eV/atom
1.0
-3.2153 -7.2528 -0.4004
-7.3932 -1.2182 2.6378
-5.8647 -1.4658 -5.1535
Cu Lu Se
2 4 8
Cartesian
-8.2366 -4.9684 -1.4580
-12.3549 -7.4526 -2.1870
-2.0592 -1.2421 -0.3645
-3.6668 -4.8685 -0.5647
-5.7558 -1.8512 0.9544
-4.9915 -1.9750 -2.9413
-11.4735 -7.9666 0.0460
-6.1581 -3.7146 -1.0901
-7.7809 -7.3751 -1.2922
-9.8895 -4.3295 0.2412
-10.7021 -8.0916 -3.8863
-14.4334 -8.7064 -2.5550
-12.8107 -5.0459 -2.3529
-9.1180 -4.4544 -3.6910

(11)
La2PrNi9 | the Open Quantum Materials Database | PBE | optimized geometry; SG = Cmmm; calculated formation energy = -224.5 meV per atom; total DFT energy (no corrections) = -5.6187 eV/atom; polymorph energy (0 for the lowest one) = 96 meV per atom
1.0
-0.8218 2.5138 -4.4968
-3.3638 -3.4236 2.0443
-3.7791 6.1925 4.1524
La Ni Pr
2 9 1
Cartesian
-3.1916 1.3456 -0.0189
-4.7731 3.9371 1.7189
-0.4109 1.2569 -2.2484
-1.6819 -1.7118 1.0222
-2.3027 2.9227 -2.1211
-3.8293 -0.6432 1.8073
-1.8895 3.0963 2.0762
-2.3004 4.3532 -0.1722
-3.5714 1.3844 3.0984
-4.1354 5.9259 -0.1073
-5.6620 2.3600 3.8211
0.0000 0.0000 0.0000

(12)
NaNbGeOs | the Open Quantum Materials Database | PBE | optimized geometry; SG = F-43m; total DFT energy (no corrections) = -6.5022 eV/atom; polymorph energy (0 for the lowest one) = 235 meV per atom
1.0
0.0000 3.2038 3.2038
3.2038 0.0000 3.2038
3.2038 3.2038 0.0000
Ge Na Nb Os
1 1 1 1
Cartesian
3.2038 3.2038 3.2038
4.8057 4.8057 4.8057
1.6019 1.6019 1.6019
0.0000 0.0000 0.0000

(13)
Zr2FeWC6 | the Open Quantum Materials Database | PBE | optimized geometry; SG = R-3; total DFT energy (no corrections) = -8.5601 eV/atom
1.0
2.8254 1.6312 4.0196
-2.8254 1.6312 4.0196
0.0000 -3.2625 4.0196
C Fe W Zr
6 1 1 2
Cartesian
1.2127 1.3244 4.9862
-0.5406 1.7124 7.0727
-1.7533 0.3880 4.9862
1.7533 -0.3880 7.0727
0.5406 -1.7125 4.9862
-1.2127 -1.3244 7.0727
0.0000 0.0000 0.0000
0.0000 0.0000 6.0295
0.0000 0.0000 2.8196
0.0000 0.0000 9.2393

(14)
GdDyTeC | the Open Quantum Materials Database | PBE | optimized geometry; SG = P-6m2; total DFT energy (no corrections) = -6.2632 eV/atom
1.0
-1.1672 -1.3201 3.4293
3.5497 -0.8075 -1.2700
4.8770 11.7279 6.1744
C Dy Gd Te
2 2 2 2
Cartesian
1.2310 2.9602 1.5585
3.6460 8.7677 4.6159
2.0878 2.8971 3.9931
3.5995 6.5324 5.9070
2.7457 0.8693 1.2692
6.0861 8.9019 5.4981
0.4051 -1.1492 1.8629
4.4159 4.8856 3.3836

(15)
ErZnTe | the Open Quantum Materials Database | PBE | optimized geometry; SG = F-43m; total DFT energy (no corrections) = -3.2367 eV/atom; polymorph energy (0 for the lowest one) = 120 meV per atom
1.0
1.0640 -4.5601 -1.2891
-2.9936 -2.4562 -2.9315
1.3372 -0.9841 -4.5642
Er Te Zn
1 1 1
Cartesian
-0.1481 -2.0001 -2.1962
-0.4443 -6.0003 -6.5886
0.0000 0.0000 0.0000

(16)
TmBiAsO5 | the Open Quantum Materials Database | PBE | optimized geometry; SG = C2/m; total DFT energy (no corrections) = -6.5806 eV/atom; polymorph energy (0 for the lowest one) = 93 meV per atom
1.0
6.1186 -2.6841 0.0000
6.1186 2.6841 0.0000
-3.3331 0.0000 6.2410
As Bi O Tm
2 2 10 2
Cartesian
3.2631 0.0000 2.3759
5.6410 0.0000 3.8651
-0.2974 0.0000 1.6887
9.2014 0.0000 4.5523
6.1186 -1.3010 0.0000
6.1186 1.3010 0.0000
1.8670 0.0000 1.2312
3.7941 -1.4044 1.3632
3.7941 1.4044 1.3632
6.7274 0.0000 2.4263
2.1766 0.0000 3.8146
5.1100 -1.4044 4.8778
5.1100 1.4044 4.8778
7.0371 0.0000 5.0097
7.9455 0.0000 0.5369
0.9586 0.0000 5.7040

(17)
ThSi3Ir | the Open Quantum Materials Database | PBE | optimized geometry; SG = I4mm; total DFT energy (no corrections) = -7.3383 eV/atom
1.0
-2.1413 2.1413 4.8713
2.1413 -2.1413 4.8713
2.1413 2.1413 -4.8713
Ir Si Th
1 3 1
Cartesian
0.0000 0.0000 6.3801
0.0000 0.0000 3.9963
0.0000 2.1413 2.5812
2.1413 0.0000 2.5812
0.0000 0.0000 9.7336

(18)
HfZnCuTc | the Open Quantum Materials Database | PBE | optimized geometry; SG = F-43m; calculated formation energy = 128.1 meV per atom; total DFT energy (no corrections) = -6.1963 eV/atom; polymorph energy (0 for the lowest one) = 158 meV per atom
1.0
1.7276 -2.8875 -2.9327
-1.6778 -4.1234 -0.3252
-2.3393 -1.1790 -3.6139
Cu Hf Tc Zn
1 1 1 1
Cartesian
-1.7172 -6.1425 -5.1539
-0.5724 -2.0475 -1.7180
-1.1448 -4.0950 -3.4359
0.0000 0.0000 0.0000

(19)
CsNbP2SeS6 | the Open Quantum Materials Database | PBE | optimized geometry; SG = C2; total DFT energy (no corrections) = -5.1174 eV/atom
1.0
4.5282 -4.8925 0.0000
4.5282 4.8925 0.0000
-1.1165 0.0000 6.9466
Cs Nb P S Se
1 1 2 6 1
Cartesian
4.5282 3.7552 0.0000
3.9700 -0.0408 3.4733
6.8117 1.3598 2.9317
1.1282 1.3598 4.0149
5.5478 0.4269 1.5970
3.0994 -1.8420 2.0084
2.3217 1.4616 2.3223
5.6182 1.4616 4.6243
4.8405 -1.8420 4.9383
2.3921 0.4269 5.3496
3.9700 4.7221 3.4733

(20)
Cu2Ag3 | the Open Quantum Materials Database | PBE | optimized geometry; SG = P2_1/m; calculated formation energy = 102.8 meV per atom; total DFT energy (no corrections) = -3.0785 eV/atom; polymorph energy (0 for the lowest one) = 71 meV per atom
1.0
4.8630 0.0000 0.0000
0.0000 2.8452 0.0000
-1.4656 0.0000 11.3074
Ag Cu
6 4
Cartesian
2.8789 0.7113 2.1294
0.4186 2.1339 2.2493
2.1387 2.1339 4.5136
1.2587 0.7113 6.7938
2.9788 0.7113 9.0581
0.5185 2.1339 9.1780
1.1805 0.7113 0.0247
-0.3584 0.7113 4.5968
3.7558 2.1339 6.7106
2.2169 2.1339 11.2827